Record 1
Material: TlNiGe
Method: DFT, PBE
State: optimized geometry

Geometry as POSCAR:
```
TlNiGe
1.0
3.262 2.383 1.981
-0.147 0.765 4.432
2.933 -2.041 2.734
Ge Ni Tl
1 1 1
direct
0.250 0.250 0.250
0.750 0.750 0.750
0.000 0.000 0.000
```

Its energy relative to the lowest polymorph listed for this composition is 1.527 eV/f.u. The calculated density comes out at 8.65 g/cm3.

Record 2
Material: TlNi3Ge5
Method: DFT, PBE
State: optimized geometry

Geometry as POSCAR:
```
TlNi3Ge5
1.0
-4.303 0.832 2.242
0.716 -4.196 -2.473
2.637 -3.243 6.265
Ge Ni Tl
5 3 1
direct
0.667 0.333 0.223
0.333 0.667 0.223
0.000 0.000 0.500
0.667 0.333 0.777
0.333 0.667 0.777
0.500 0.000 0.500
0.000 0.500 0.500
0.500 0.500 0.500
0.000 0.000 0.000
```

The calculated density comes out at 7.81 g/cm3. Its uncorrected energy is -4.730 eV per atom.

Record 3
Material: Y4TlNi2Ge4
Method: DFT, PBE
State: optimized geometry

Geometry as POSCAR:
```
Y4TlNi2Ge4
1.0
-7.685 1.003 -2.384
-7.734 -2.432 0.104
1.082 4.111 5.697
Ge Ni Tl Y
4 2 1 4
direct
0.207 0.207 0.276
0.933 0.933 0.342
0.067 0.067 0.658
0.793 0.793 0.724
0.783 0.783 0.359
0.217 0.217 0.641
0.000 0.000 0.000
0.344 0.344 0.062
0.591 0.591 0.388
0.409 0.409 0.612
0.656 0.656 0.938
```

The calculated density comes out at 7.19 g/cm3. Its uncorrected energy is -6.012 eV per atom.

Record 4
Material: TmNi2Ge
Method: DFT, PBE
State: optimized geometry

Geometry as POSCAR:
```
TmNi2Ge
1.0
4.958 0.000 0.000
0.000 4.132 0.000
-1.602 0.000 6.322
Ge Ni Tm
2 4 2
direct
0.720 0.000 0.269
0.280 0.500 0.731
0.650 0.500 0.052
0.828 0.500 0.468
0.172 0.000 0.532
0.350 0.000 0.948
0.217 0.500 0.235
0.783 0.000 0.765
```

The calculated density comes out at 9.21 g/cm3. Its uncorrected energy is -5.629 eV per atom.

Record 5
Material: Tm3Ni4Ge
Method: DFT, PBE
State: optimized geometry

Geometry as POSCAR:
```
Tm3Ni4Ge
1.0
5.174 0.000 0.000
0.000 4.113 0.000
-0.432 0.000 6.489
Ge Ni Tm
1 4 3
direct
0.379 0.000 0.664
0.612 0.000 0.021
0.170 0.500 0.513
0.876 0.000 0.548
0.355 0.500 0.912
0.134 0.000 0.193
0.630 0.500 0.327
0.845 0.500 0.822
```

The calculated density comes out at 9.79 g/cm3. Its uncorrected energy is -5.504 eV per atom.

Record 6
Material: TmNiGe
Method: DFT, PBE
State: optimized geometry

Geometry as POSCAR:
```
TmNiGe
1.0
-2.316 -2.323 2.902
-0.539 1.503 4.078
-3.930 1.423 1.308
Ge Ni Tm
1 1 1
direct
0.000 0.000 0.000
0.250 0.250 0.250
0.750 0.750 0.750
```

The calculated density comes out at 8.40 g/cm3. Its uncorrected energy is -5.217 eV per atom.